## La4ErCd (PBE-GGA)

Data for a relaxed La4ErCd crystal.

Computed properties:
Its space group is C2/c, No. 15. The value obtained for the formation energy is -0.012 eV/atom. As for the energy above the most stable polymorph in this dataset: 83 meV/atom.

a = 6.2686 Å, b = 9.0081 Å, c = 9.9068 Å
α = 104.17°, β = 90.85°, γ = 131.54°
Closest atoms and distances in Å follow each position.
Positions (direct):
La 0.2285 0.9534 0.4005  4 La 3.33-3.44, 2 Cd 3.43-3.65, 2 Er 3.51-3.59
La 0.7715 0.0466 0.5995  4 La 3.33-3.44, 2 Cd 3.43-3.65, 2 Er 3.51-3.59
La 0.3280 0.5529 0.5995  4 La 3.33-3.44, 2 Cd 3.43-3.65, 2 Er 3.51-3.59
La 0.6723 0.2666 0.0548  4 La 3.30-3.54, 2 Cd 3.38-3.67, 2 Er 3.47-3.60
La 0.3277 0.7334 0.9452  4 La 3.30-3.54, 2 Cd 3.38-3.67, 2 Er 3.47-3.60
La 0.1175 0.2118 0.9452  4 La 3.30-3.54, 2 Cd 3.38-3.67, 2 Er 3.47-3.60
La 0.8825 0.7882 0.0548  4 La 3.30-3.54, 2 Cd 3.38-3.67, 2 Er 3.47-3.60
La 0.6720 0.4471 0.4005  4 La 3.33-3.44, 2 Cd 3.43-3.65, 2 Er 3.51-3.59
Er 0.3841 0.6341 0.2683  2 Cd 3.38, 8 La 3.47-3.60
Er 0.6159 0.3659 0.7317  2 Cd 3.38, 8 La 3.47-3.60
Cd 0.1095 0.8595 0.7190  8 La 3.38-3.67, 2 Er 3.38
Cd 0.8905 0.1405 0.2810  8 La 3.38-3.67, 2 Er 3.38